! ThMgSb2, relaxed, DFT PBE-GGA; values from VASP
! Polymorph energy (0 for the lowest one) ... 18 meV/atom
! Formation energy without anion corrections ... -576 meV/atom
! Theoretical density ... 6.87 g/cm3
! Crystal system ... trigonal
&SYSTEM
  ibrav = 0, nat = 4, ntyp = 3
/
ATOMIC_SPECIES
Th 232.04 Th.upf
Mg 24.30 Mg.upf
Sb 121.76 Sb.upf
CELL_PARAMETERS angstrom
2.252 1.300 6.879
-2.252 1.300 6.879
0.000 -2.600 6.879
ATOMIC_POSITIONS angstrom
Th 0.000 0.000 0.000
Mg 0.000 0.000 10.318
Sb 0.000 0.000 5.058
Sb 0.000 0.000 15.578